[1]
Here is crystalline SrGa2SeS6 at its relaxed geometry from the Alexandria database. Energies are from PBE. Values from VASP.

Quantum ESPRESSO input file:
```
&SYSTEM
  ibrav = 0, nat = 20, ntyp = 4
/
ATOMIC_SPECIES
Sr 87.62 Sr.upf
Ga 69.72 Ga.upf
Se 78.96 Se.upf
S 32.06 S.upf
CELL_PARAMETERS angstrom
7.007 -5.584 0.000
7.007 5.584 0.000
-3.361 0.000 6.696
ATOMIC_POSITIONS crystal
Sr 0.214 0.786 0.750
Sr 0.786 0.214 0.250
Ga 0.136 0.328 0.146
Ga 0.328 0.136 0.646
Ga 0.672 0.864 0.354
Ga 0.864 0.672 0.854
Se 0.268 0.732 0.250
Se 0.732 0.268 0.750
S 0.127 0.568 0.905
S 0.138 0.212 0.389
S 0.212 0.138 0.889
S 0.295 0.530 0.378
S 0.432 0.873 0.595
S 0.470 0.705 0.122
S 0.530 0.295 0.878
S 0.568 0.127 0.405
S 0.705 0.470 0.622
S 0.788 0.862 0.111
S 0.862 0.788 0.611
S 0.873 0.432 0.095
```

Results
Total magnetization   0.000 Bohr magnetons per cell
ΔE_f (raw)   -0.6057 eV per atom



[2]
Here is crystalline P2O at its relaxed geometry from the Alexandria database. Energies are from PBE. Values from VASP.

Quantum ESPRESSO input file:
```
&SYSTEM
  ibrav = 0, nat = 3, ntyp = 2
/
ATOMIC_SPECIES
P 30.97 P.upf
O 16.00 O.upf
CELL_PARAMETERS angstrom
4.133 0.000 0.000
0.000 2.719 0.000
-0.748 0.000 4.501
ATOMIC_POSITIONS crystal
P 0.000 0.000 0.000
P 0.416 0.000 0.388
O 0.766 0.000 0.266
```

Results
Polymorph energy (0 for the lowest one)   267.1 meV per atom
Total magnetization   0.000 Bohr magnetons per cell
ΔE_f (raw)   -0.3795 eV per atom



[3]
Here is crystalline Cr2CuAsS at its relaxed geometry from the Alexandria database. Energies are from PBE. Values from VASP.

Quantum ESPRESSO input file:
```
&SYSTEM
  ibrav = 0, nat = 5, ntyp = 4
/
ATOMIC_SPECIES
Cr 52.00 Cr.upf
Cu 63.55 Cu.upf
As 74.92 As.upf
S 32.06 S.upf
CELL_PARAMETERS angstrom
4.599 0.000 0.000
0.000 4.599 0.000
0.000 0.000 4.220
ATOMIC_POSITIONS crystal
Cr 0.000 0.500 0.000
Cr 0.500 0.000 0.000
Cu 0.000 0.000 0.500
As 0.500 0.500 0.500
S 0.000 0.000 0.000
```

Results
Total magnetization   7.620 Bohr magnetons per cell
ΔE_f (raw)   0.2939 eV per atom



[4]
Here is crystalline K3HgAu3 at its relaxed geometry from the Alexandria database. Energies are from PBE. Values from VASP.

Quantum ESPRESSO input file:
```
&SYSTEM
  ibrav = 0, nat = 14, ntyp = 3
/
ATOMIC_SPECIES
K 39.10 K.upf
Hg 200.59 Hg.upf
Au 196.97 Au.upf
CELL_PARAMETERS angstrom
9.975 0.000 0.000
-4.988 8.639 0.000
0.000 0.000 6.659
ATOMIC_POSITIONS crystal
K 0.042 0.695 0.250
K 0.305 0.347 0.250
K 0.347 0.042 0.750
K 0.653 0.958 0.250
K 0.695 0.653 0.750
K 0.958 0.305 0.750
Hg 0.333 0.667 0.750
Hg 0.667 0.333 0.250
Au 0.040 0.676 0.750
Au 0.324 0.364 0.750
Au 0.364 0.040 0.250
Au 0.636 0.960 0.750
Au 0.676 0.636 0.250
Au 0.960 0.324 0.250
```

Results
Polymorph energy (0 for the lowest one)   88.9 meV per atom
Formation enthalpy at 0 K   -0.216 eV/atom
Total magnetization   0.000 Bohr magnetons per cell



[5]
Here is crystalline Ce2YBeC2 at its relaxed geometry from the Alexandria database. Energies are from PBE. Values from VASP.

Quantum ESPRESSO input file:
```
&SYSTEM
  ibrav = 0, nat = 12, ntyp = 4
/
ATOMIC_SPECIES
Ce 140.12 Ce.upf
Y 88.91 Y.upf
Be 9.01 Be.upf
C 12.01 C.upf
CELL_PARAMETERS angstrom
5.381 0.000 0.000
0.000 11.308 0.000
0.000 0.000 3.568
ATOMIC_POSITIONS crystal
Ce 0.006 0.213 0.000
Ce 0.494 0.713 0.500
Ce 0.506 0.287 0.500
Ce 0.994 0.787 0.000
Y 0.000 0.500 0.500
Y 0.500 0.000 0.000
Be 0.000 0.000 0.500
Be 0.500 0.500 0.000
C 0.231 0.105 0.500
C 0.269 0.605 0.000
C 0.731 0.395 0.000
C 0.769 0.895 0.500
```

Results
Formation enthalpy at 0 K   -0.122 eV/atom
Total magnetization   1.160 Bohr magnetons per cell



[6]
Here is crystalline Ac2TePb at its relaxed geometry from the Alexandria database. Energies are from PBE. Values from VASP.

Quantum ESPRESSO input file:
```
&SYSTEM
  ibrav = 0, nat = 8, ntyp = 3
/
ATOMIC_SPECIES
Ac 227.00 Ac.upf
Te 127.60 Te.upf
Pb 207.20 Pb.upf
CELL_PARAMETERS angstrom
4.839 0.000 0.000
0.000 6.792 0.000
0.000 0.000 9.665
ATOMIC_POSITIONS crystal
Ac 0.250 0.250 0.119
Ac 0.250 0.250 0.631
Ac 0.750 0.750 0.369
Ac 0.750 0.750 0.881
Te 0.250 0.750 0.622
Te 0.750 0.250 0.378
Pb 0.250 0.750 0.130
Pb 0.750 0.250 0.870
```

Results
Polymorph energy (0 for the lowest one)   0.0 meV per atom
Total magnetization   0.000 Bohr magnetons per cell
ΔE_f (raw)   -1.0584 eV per atom



| no. | raw total energy (eV/atom) |
| --- | --- |
| 1 | -4.204 |
| 2 | -5.639 |
| 3 | -6.130 |
| 4 | -2.134 |
| 5 | -6.873 |
| 6 | -4.825 |